Compound: ThZr2Tl
Source: the Alexandria database
Functional: PBE
Structure: relaxed

CIF file:
```
data_ThZr2Tl
_chemical_formula_sum 'Th4 Zr8 Tl4'
_cell_length_a 7.3372
_cell_length_b 7.3372
_cell_length_c 7.3372
_cell_angle_alpha 90.00
_cell_angle_beta 90.00
_cell_angle_gamma 90.00
_space_group_name_H-M_alt 'F m -3 m'
_space_group_IT_number 225
_space_group_name_Hall '-F 4 2 3'
loop_
_atom_site_label
_atom_site_fract_x
_atom_site_fract_y
_atom_site_fract_z
Th1 0.0000 0.0000 0.0000
Zr1 0.2500 0.2500 0.2500
Tl1 0.0000 0.0000 0.5000
```

Properties
The polymorph energy (0 for the lowest one) comes out at 126 meV per atom. For the density of states at the Fermi level, the calculation gives 1.49 states/eV per atom. The calculation puts the formation energy at 0.0820 eV per atom. The calculation puts the total energy at -6.6386 eV per atom. Its calculated volume is 395.0 Å³/cell.

Compound: Th2Zr2Tl3
Source: the Alexandria database
Functional: PBE
Structure: relaxed

CIF file:
```
data_Th2Zr2Tl3
_chemical_formula_sum 'Th4 Zr4 Tl6'
_cell_length_a 4.7035
_cell_length_b 23.7028
_cell_length_c 3.3529
_cell_angle_alpha 90.00
_cell_angle_beta 90.00
_cell_angle_gamma 90.00
_space_group_name_H-M_alt 'C m m m'
_space_group_IT_number 65
_space_group_name_Hall '-C 2 2'
loop_
_atom_site_label
_atom_site_fract_x
_atom_site_fract_y
_atom_site_fract_z
Th1 0.0000 0.0762 0.0000
Zr1 0.0000 0.2098 0.0000
Tl1 0.0000 0.3376 0.5000
Tl2 0.0000 0.5000 0.5000
```

Properties
For the density of states at the Fermi level, the calculation gives 1.08 states/eV per atom. The calculation puts the formation energy at 0.0148 eV per atom. The calculation puts the total energy at -5.5616 eV per atom. Its calculated volume is 373.8 Å³/cell.

Compound: ThZrTl
Source: the Alexandria database
Functional: PBE
Structure: relaxed

CIF file:
```
data_ThZrTl
_chemical_formula_sum 'Th2 Zr2 Tl2'
_cell_length_a 3.3245
_cell_length_b 3.3245
_cell_length_c 14.6706
_cell_angle_alpha 90.00
_cell_angle_beta 90.00
_cell_angle_gamma 90.00
_space_group_name_H-M_alt 'I 4 m m'
_space_group_IT_number 107
_space_group_name_Hall 'I 4 -2'
loop_
_atom_site_label
_atom_site_fract_x
_atom_site_fract_y
_atom_site_fract_z
Th1 0.0000 0.0000 0.0000
Zr1 0.0000 0.0000 0.6657
Tl1 0.0000 0.0000 0.3204
```

Properties
The polymorph energy (0 for the lowest one) comes out at 0 meV per atom. For the density of states at the Fermi level, the calculation gives 1.27 states/eV per atom. The calculation puts the formation energy at -0.0039 eV per atom. The calculation puts the total energy at -6.1153 eV per atom. Its calculated volume is 162.1 Å³/cell.

Compound: ThZrTl
Source: the Alexandria database
Functional: PBE
Structure: relaxed

CIF file:
```
data_ThZrTl
_chemical_formula_sum 'Th2 Zr2 Tl2'
_cell_length_a 3.4319
_cell_length_b 5.3058
_cell_length_c 9.1287
_cell_angle_alpha 90.00
_cell_angle_beta 92.08
_cell_angle_gamma 90.00
_space_group_name_H-M_alt 'P 1 21/m 1'
_space_group_IT_number 11
loop_
_space_group_symop_operation_xyz
'x,y,z'
'-x,-y,-z'
'-x,y+1/2,-z'
'x,-y+1/2,z'
loop_
_atom_site_label
_atom_site_fract_x
_atom_site_fract_y
_atom_site_fract_z
Th1 0.0053 0.2500 0.2491
Zr1 0.4183 0.7500 0.4368
Tl1 0.4772 0.2500 0.9023
```

Properties
The polymorph energy (0 for the lowest one) comes out at 22 meV per atom. For the density of states at the Fermi level, the calculation gives 0.98 states/eV per atom. The calculation puts the formation energy at 0.0180 eV per atom. The calculation puts the total energy at -6.0934 eV per atom. Its calculated volume is 166.1 Å³/cell.